! ZrAg2Mo PBE-GGA relaxed; values from VASP
&SYSTEM
  ibrav = 0, nat = 4, ntyp = 3
/
ATOMIC_SPECIES
Zr 91.22 Zr.upf
Mo 95.94 Mo.upf
Ag 107.87 Ag.upf
CELL_PARAMETERS angstrom
-1.6268 -1.9323 -1.2400
-0.6689 -1.0550 2.5214
-7.1047 5.6686 0.4871
ATOMIC_POSITIONS angstrom
Zr -6.4763 2.7578 1.0060
Mo -2.9240 -0.0765 0.7625
Ag -3.4797 2.7764 0.2386
Ag -0.0726 0.0579 0.0050
! Magnetic moment, μB per cell: 0.00
! Theoretical density, g/cm3: 9.28
! E above lowest polymorph, eV/atom: 0.1727
! Calculated formation energy, meV/atom: 348